1.
# Pu2BiAu8 (PBE-GGA, optimized geometry)
data_Pu2BiAu8
_chemical_formula_sum 'Pu2 Bi1 Au8'
_symmetry_space_group_name_H-M 'P -1'
_symmetry_Int_Tables_number 2
_cell_length_a 5.2337
_cell_length_b 5.6679
_cell_length_c 8.6349
_cell_angle_alpha 70.85
_cell_angle_beta 80.91
_cell_angle_gamma 89.94
loop_
_symmetry_equiv_pos_as_xyz
'x,y,z'
'-x,-y,-z'
loop_
_atom_site_label
_atom_site_type_symbol
_atom_site_fract_x
_atom_site_fract_y
_atom_site_fract_z
Pu1 Pu 0.0688 0.1146 0.2693
Bi1 Bi 0.0000 0.5000 0.5000
Au1 Au 0.0947 0.6911 0.1158
Au2 Au 0.3994 0.0808 0.8479
Au3 Au 0.4003 0.5720 0.8475
Au4 Au 0.4997 0.2393 0.5000
# Calculated formation energy ... -0.25 eV per atom
# E ... -0.4110 Ry per atom
# N(E_F) ... 29.1 states/eV per cell

***

2.
# Pu2BiAu2 (PBE-GGA, optimized geometry)
data_Pu2BiAu2
_chemical_formula_sum 'Pu4 Bi2 Au4'
_symmetry_space_group_name_H-M 'P 4/m b m'
_symmetry_Int_Tables_number 127
_symmetry_space_group_name_Hall '-P 4 2ab'
_cell_length_a 8.5777
_cell_length_b 8.5777
_cell_length_c 3.4665
_cell_angle_alpha 90.00
_cell_angle_beta 90.00
_cell_angle_gamma 90.00
loop_
_atom_site_label
_atom_site_type_symbol
_atom_site_fract_x
_atom_site_fract_y
_atom_site_fract_z
Pu1 Pu 0.1780 0.3220 0.0000
Bi1 Bi 0.0000 0.0000 0.5000
Au1 Au 0.1173 0.6173 0.5000
# Calculated formation energy ... -0.41 eV per atom
# ΔE to the lowest computed polymorph ... 0 kJ/mol of formula units
# E ... -0.6051 Ry per atom
# N(E_F) ... 42.2 states/eV per cell

***

3.
# Pu2Bi3Au2 (PBE-GGA, optimized geometry)
data_Pu2Bi3Au2
_chemical_formula_sum 'Pu2 Bi3 Au2'
_symmetry_space_group_name_H-M 'P 1 2/m 1'
_symmetry_Int_Tables_number 10
_cell_length_a 7.7412
_cell_length_b 3.3039
_cell_length_c 8.1444
_cell_angle_alpha 90.00
_cell_angle_beta 109.94
_cell_angle_gamma 90.00
loop_
_symmetry_equiv_pos_as_xyz
'x,y,z'
'-x,-y,-z'
'-x,y,-z'
'x,-y,z'
loop_
_atom_site_label
_atom_site_type_symbol
_atom_site_fract_x
_atom_site_fract_y
_atom_site_fract_z
Pu1 Pu 0.1113 0.0000 0.2707
Bi1 Bi 0.2852 0.5000 0.0013
Bi2 Bi 0.5000 0.5000 0.5000
Au1 Au 0.1806 0.5000 0.6240
# Calculated formation energy ... -0.23 eV per atom
# E ... -0.5092 Ry per atom
# N(E_F) ... 21.7 states/eV per cell

***

Look up the E of the third one. -0.5092 Ry per atom

***

The lowest E belongs to which entry? Pu2BiAu2

***

Number 2 is which compound? Pu2BiAu2

***

The highest calculated formation energy belongs to which entry? Pu2Bi3Au2